(1)
Nd2Ho3Cd3 | PBE | relaxed

The calculation puts the total energy at -27.795 eV per formula unit.

It has space group Immm (No. 71), with a = 3.782 Å, b = 5.331 Å, c = 22.471 Å, α = 90.00°, β = 90.00° and γ = 90.00°. The inequivalent atoms are Nd at (0.000, 0.000, 0.231), Ho at (0.000, 0.000, 0.000), Ho at (0.000, 0.500, 0.120), Cd at (0.000, 0.000, 0.500) and Cd at (0.000, 0.500, 0.387).

=====

(2)
Nd12Ho5Cd2 | PBE | relaxed

The calculation puts the total energy at -81.157 eV per formula unit.

It has space group C2/m (No. 12), with a = 15.673 Å, b = 9.282 Å, c = 8.597 Å, α = 90.00°, β = 92.95° and γ = 90.00°. The inequivalent atoms are Nd at (0.059, 0.000, 0.331), Nd at (0.081, 0.500, 0.883), Nd at (0.126, 0.195, 0.673), Nd at (0.149, 0.315, 0.235), Ho at (0.000, 0.500, 0.500), Ho at (0.196, 0.000, 0.020), Ho at (0.232, 0.500, 0.577) and Cd at (0.000, 0.168, 0.000).

=====

Record order is preserved below.
V: 453, 1249 Å³/cell